Entry 1:
The following is a DFT calculation (GGA-PBE) of RhAu2Cl after structural relaxation.

Unit cell a=3.1008 b=3.1008 c=7.5629 alpha=90.00 beta=90.00 gamma=90.00
Space group P4/mmm (No. 123)
Asymmetric unit:
Rh  0.0000  0.0000  0.0000 (multiplicity 1)
Au  0.5000  0.5000  0.2277 (multiplicity 2)
Cl  0.0000  0.0000  0.5000 (multiplicity 1)

Computed properties:
V = 72.7 Å³ per cell
Energy relative to the elements, uncorrected = 31.72 kJ/mol of atoms
Total magnetization = 1.3 μB per formula unit
Offset from the most stable computed form = 172.4 meV/atom
Fermi-level density of states = 3.8 states/eV/cell

Entry 2:
The following is a DFT calculation (GGA-PBE) of RhAu2Cl after structural relaxation.

Unit cell a=5.3833 b=9.2574 c=2.8588 alpha=90.00 beta=90.00 gamma=90.00
Space group Cmmm (No. 65)
Asymmetric unit:
Rh  0.0000  0.0000  0.0000 (multiplicity 2)
Au  0.2500  0.2500  0.5000 (multiplicity 4)
Cl  0.0000  0.5000  0.0000 (multiplicity 2)

Computed properties:
V = 142.5 Å³ per cell
Energy relative to the elements, uncorrected = 44.32 kJ/mol of atoms
Total magnetization = 0.6 μB per formula unit
Offset from the most stable computed form = 303.0 meV/atom
Fermi-level density of states = 6.8 states/eV/cell

Entry 3:
The following is a DFT calculation (GGA-PBE) of RhAu2Cl after structural relaxation.

Unit cell a=7.6720 b=7.6720 c=5.2438 alpha=90.00 beta=90.00 gamma=90.00
Space group I-42d (No. 122)
Asymmetric unit:
Rh  0.0000  0.0000  0.0000 (multiplicity 4)
Au  0.2354  0.2500  0.1250 (multiplicity 8)
Cl  0.0000  0.0000  0.5000 (multiplicity 4)

Computed properties:
V = 308.6 Å³ per cell
Energy relative to the elements, uncorrected = 46.35 kJ/mol of atoms
Total magnetization = 0.0 μB per formula unit
Offset from the most stable computed form = 324.0 meV/atom
Fermi-level density of states = 5.4 states/eV/cell

Entry 4:
The following is a DFT calculation (GGA-PBE) of RhAu2Cl after structural relaxation.

Unit cell a=3.1086 b=3.1086 c=25.6880 alpha=90.00 beta=90.00 gamma=120.00
Space group R-3m (No. 166, hexagonal axes)
Asymmetric unit:
Rh  0.0000  0.0000  0.0000 (multiplicity 3)
Au  0.0000  0.0000  0.2519 (multiplicity 6)
Cl  0.0000  0.0000  0.5000 (multiplicity 3)

Computed properties:
V = 215.0 Å³ per cell
Energy relative to the elements, uncorrected = 28.83 kJ/mol of atoms
Total magnetization = 1.2 μB per formula unit
Offset from the most stable computed form = 142.4 meV/atom
Fermi-level density of states = 10.1 states/eV/cell

Q: Among the records above, which one has the highest V?
A: number 3

Q: What is the formula in the third record?
A: RhAu2Cl

Q: Which formula does entry 4 have?
A: RhAu2Cl